#A
Here is RbCoPt2 after structural relaxation from Alexandria. Energies are from PBE.

Geometry as POSCAR:
```
RbCoPt2
1.0
-2.6080 2.6080 8.0389
2.6080 -2.6080 8.0389
2.6080 2.6080 -8.0389
Rb Co Pt
2 2 4
direct
0.0000 0.0000 0.0000
0.7500 0.2500 0.5000
0.2500 0.7500 0.5000
0.5000 0.5000 0.0000
0.3377 0.6250 0.2127
0.3750 0.5877 0.7127
0.4123 0.1250 0.7873
0.8750 0.6623 0.2873
```

=====

#B
Here is RbCoPt2 after structural relaxation from Alexandria. Energies are from PBE.

Geometry as POSCAR:
```
RbCoPt2
1.0
0.0000 3.3637 3.3637
3.3637 0.0000 3.3637
3.3637 3.3637 0.0000
Rb Co Pt
1 1 2
direct
0.0000 0.0000 0.0000
0.5000 0.5000 0.5000
0.2500 0.2500 0.2500
0.7500 0.7500 0.7500
```

=====

Energy relative to the most stable one, in meV per atom: #A 0; #B 588

=====

#A
Here is CoRePt2 after structural relaxation from Alexandria. Energies are from PBE.

Geometry as POSCAR:
```
CoRePt2
1.0
2.7299 0.0000 0.0000
0.0000 2.7299 0.0000
0.0000 0.0000 7.6864
Co Re Pt
1 1 2
direct
0.0000 0.0000 0.0000
0.0000 0.0000 0.5000
0.5000 0.5000 0.2438
0.5000 0.5000 0.7562
```

=====

#B
Here is CoRePt2 after structural relaxation from Alexandria. Energies are from PBE.

Geometry as POSCAR:
```
CoRePt2
1.0
2.6985 -3.9557 0.0000
2.6985 3.9557 0.0000
0.0000 0.0000 2.6980
Co Re Pt
1 1 2
direct
0.0000 0.0000 0.0000
0.5000 0.5000 0.0000
0.0000 0.5000 0.5000
0.5000 0.0000 0.5000
```

=====

Energy relative to the most stable one, in meV per atom: #A 0; #B 51

=====

#A
Here is CoRePt2 after structural relaxation from Alexandria. Energies are from PBE.

Geometry as POSCAR:
```
CoRePt2
1.0
-1.9122 1.9122 3.8676
1.9122 -1.9122 3.8676
1.9122 1.9122 -3.8676
Co Re Pt
1 1 2
direct
0.0000 0.0000 0.0000
0.7500 0.2500 0.5000
0.2500 0.7500 0.5000
0.5000 0.5000 0.0000
```

=====

#B
Here is CoRePt2 after structural relaxation from Alexandria. Energies are from PBE.

Geometry as POSCAR:
```
CoRePt2
1.0
2.7183 0.0000 0.0000
0.0000 2.7183 0.0000
0.0000 0.0000 7.6703
Co Re Pt
1 1 2
direct
0.0000 0.0000 0.0000
0.5000 0.5000 0.7847
0.0000 0.0000 0.5244
0.5000 0.5000 0.2445
```

=====

#C
Here is CoRePt2 after structural relaxation from Alexandria. Energies are from PBE.

Geometry as POSCAR:
```
CoRePt2
1.0
3.2317 0.0000 0.0000
0.0000 3.2317 0.0000
0.0000 0.0000 5.5283
Co Re Pt
1 1 2
direct
0.0000 0.0000 0.0000
0.5000 0.5000 0.7850
0.0000 0.0000 0.5244
0.5000 0.5000 0.2467
```

=====

#D
Here is CoRePt2 after structural relaxation from Alexandria. Energies are from PBE.

Geometry as POSCAR:
```
CoRePt2
1.0
0.0000 3.0826 3.0826
3.0826 0.0000 3.0826
3.0826 3.0826 0.0000
Co Re Pt
1 1 2
direct
0.0000 0.0000 0.0000
0.5000 0.5000 0.5000
0.2500 0.2500 0.2500
0.7500 0.7500 0.7500
```

=====

Energy relative to the most stable one, in meV per atom: #A 82; #B 0; #C 212; #D 386

=====

#A
Here is CoRePt2 after structural relaxation from Alexandria. Energies are from PBE.

Geometry as POSCAR:
```
CoRePt2
1.0
3.8129 0.0000 0.0000
0.0000 3.8129 0.0000
0.0000 0.0000 3.9348
Co Re Pt
1 1 2
direct
0.0000 0.0000 0.0000
0.5000 0.5000 0.0000
0.0000 0.5000 0.5000
0.5000 0.0000 0.5000
```

=====

#B
Here is CoRePt2 after structural relaxation from Alexandria. Energies are from PBE.

Geometry as POSCAR:
```
CoRePt2
1.0
2.7054 0.0000 0.0000
0.0000 4.4153 0.0000
0.0000 0.0000 4.8214
Co Re Pt
1 1 2
direct
0.0000 0.0000 0.0000
0.0000 0.5000 0.3128
0.5000 0.0000 0.4865
0.5000 0.5000 0.8289
```

=====

#C
Here is CoRePt2 after structural relaxation from Alexandria. Energies are from PBE.

Geometry as POSCAR:
```
CoRePt2
1.0
1.3681 0.7899 8.8668
-1.3681 0.7899 8.8668
0.0000 -1.5798 8.8668
Co Re Pt
1 1 2
direct
0.0000 0.0000 0.0000
0.7417 0.7417 0.7417
0.2523 0.2523 0.2523
0.4942 0.4942 0.4942
```

=====

#D
Here is CoRePt2 after structural relaxation from Alexandria. Energies are from PBE.

Geometry as POSCAR:
```
CoRePt2
1.0
-3.4297 3.4297 2.6547
3.4297 -3.4297 2.6547
3.4297 3.4297 -2.6547
Co Re Pt
2 2 4
direct
0.0000 0.0000 0.0000
0.7500 0.2500 0.5000
0.2500 0.7500 0.5000
0.5000 0.5000 0.0000
0.1164 0.6250 0.9914
0.3750 0.3664 0.4914
0.6336 0.1250 0.0086
0.8750 0.8836 0.5086
```

=====

Energy relative to the most stable one, in meV per atom: #A 151; #B 0; #C 12; #D 643

=====

#A
Here is CoRePt2 after structural relaxation from Alexandria. Energies are from PBE.

Geometry as POSCAR:
```
CoRePt2
1.0
0.0000 3.0744 3.0744
3.0744 0.0000 3.0744
3.0744 3.0744 0.0000
Co Re Pt
1 1 2
direct
0.0000 0.0000 0.0000
0.2500 0.2500 0.2500
0.5000 0.5000 0.5000
0.7500 0.7500 0.7500
```

=====

#B
Here is CoRePt2 after structural relaxation from Alexandria. Energies are from PBE.

Geometry as POSCAR:
```
CoRePt2
1.0
4.5012 -1.3559 0.0000
4.5012 1.3559 0.0000
-0.8105 0.0000 4.6928
Co Re Pt
1 1 2
direct
0.0000 0.0000 0.0000
0.2593 0.2593 0.7566
0.5083 0.5083 0.5246
0.7493 0.7493 0.2399
```

=====

#C
Here is CoRePt2 after structural relaxation from Alexandria. Energies are from PBE.

Geometry as POSCAR:
```
CoRePt2
1.0
-1.8951 1.8951 3.9295
1.8951 -1.8951 3.9295
1.8951 1.8951 -3.9295
Co Re Pt
1 1 2
direct
0.0000 0.0000 0.0000
0.5000 0.5000 0.0000
0.2500 0.7500 0.5000
0.7500 0.2500 0.5000
```

=====

Energy relative to the most stable one, in meV per atom: #A 279; #B 0; #C 39

=====

#A
Here is CoRePt after structural relaxation from Alexandria. Energies are from PBE.

Geometry as POSCAR:
```
CoRePt
1.0
4.2838 -1.8854 0.0000
4.2838 1.8854 0.0000
-1.7529 0.0000 5.1304
Co Re Pt
2 2 2
direct
0.0000 0.0000 0.0000
0.6721 0.6721 0.8413
0.0093 0.0093 0.5335
0.3554 0.3554 0.7014
0.3436 0.3436 0.1723
0.6781 0.6781 0.3559
```

=====

#B
Here is CoRePt after structural relaxation from Alexandria. Energies are from PBE.

Geometry as POSCAR:
```
CoRePt
1.0
4.2465 0.0000 0.0000
-2.1232 3.6776 0.0000
0.0000 0.0000 2.6387
Co Re Pt
1 1 1
direct
0.0000 0.0000 0.0000
0.3333 0.6667 0.5000
0.6667 0.3333 0.0000
```

=====

#C
Here is CoRePt after structural relaxation from Alexandria. Energies are from PBE.

Geometry as POSCAR:
```
CoRePt
1.0
0.0000 2.8459 2.8459
2.8459 0.0000 2.8459
2.8459 2.8459 0.0000
Co Re Pt
1 1 1
direct
0.0000 0.0000 0.0000
0.2500 0.2500 0.2500
0.7500 0.7500 0.7500
```

=====

#D
Here is CoRePt after structural relaxation from Alexandria. Energies are from PBE.

Geometry as POSCAR:
```
CoRePt
1.0
4.0694 -2.3405 0.0000
4.0694 2.3405 0.0000
-2.7567 0.0000 4.3041
Co Re Pt
2 2 2
direct
0.1690 0.1690 0.0015
0.8310 0.8310 0.9985
0.3289 0.6711 0.5000
0.4954 0.5046 0.0000
0.0008 0.3268 0.4984
0.6732 0.9992 0.5016
```

=====

Energy relative to the most stable one, in meV per atom: #A 0; #B 69; #C 477; #D 8

=====

#A
Here is CoRePt after structural relaxation from Alexandria. Energies are from PBE.

Geometry as POSCAR:
```
CoRePt
1.0
2.2900 -4.0934 0.0000
2.2900 4.0934 0.0000
-1.5005 0.0000 4.4010
Co Re Pt
2 2 2
direct
0.0767 0.9233 0.7500
0.9233 0.0767 0.2500
0.4274 0.5726 0.7500
0.5726 0.4274 0.2500
0.2444 0.7556 0.2500
0.7556 0.2444 0.7500
```

=====

#B
Here is CoRePt after structural relaxation from Alexandria. Energies are from PBE.

Geometry as POSCAR:
```
CoRePt
1.0
6.3226 -1.8610 0.0000
6.3226 1.8610 0.0000
-1.2140 0.0000 8.0450
Co Re Pt
4 4 4
direct
0.1001 0.1001 0.0615
0.1597 0.1597 0.5962
0.8403 0.8403 0.4038
0.8999 0.8999 0.9385
0.2255 0.2255 0.3393
0.2613 0.2613 0.8902
0.7387 0.7387 0.1098
0.7745 0.7745 0.6607
0.0264 0.0264 0.3391
0.4020 0.4020 0.1694
0.5980 0.5980 0.8306
0.9736 0.9736 0.6609
```

=====

#C
Here is CoRePt after structural relaxation from Alexandria. Energies are from PBE.

Geometry as POSCAR:
```
CoRePt
1.0
2.3472 -3.9710 0.0000
2.3472 3.9710 0.0000
-1.6446 0.0000 4.3771
Co Re Pt
2 2 2
direct
0.0833 0.9167 0.7500
0.9167 0.0833 0.2500
0.2398 0.7602 0.2500
0.7602 0.2398 0.7500
0.4128 0.5872 0.7500
0.5872 0.4128 0.2500
```

=====

Energy relative to the most stable one, in meV per atom: #A 45; #B 409; #C 0

=====

#A
Here is CoRePt3 after structural relaxation from Alexandria. Energies are from PBE.

Geometry as POSCAR:
```
CoRePt3
1.0
4.7912 0.0000 0.0000
0.0000 4.7912 0.0000
0.0000 0.0000 4.7912
Co Re Pt
1 1 3
direct
0.0000 0.0000 0.0000
0.5000 0.5000 0.5000
0.0000 0.5000 0.5000
0.5000 0.0000 0.5000
0.5000 0.5000 0.0000
```

=====

#B
Here is CoRePt3 after structural relaxation from Alexandria. Energies are from PBE.

Geometry as POSCAR:
```
CoRePt3
1.0
4.5116 0.0000 0.0000
0.0000 4.5116 0.0000
0.0000 0.0000 4.5116
Co Re Pt
1 1 3
direct
0.0000 0.0000 0.0000
0.5000 0.5000 0.5000
0.0000 0.0000 0.5000
0.0000 0.5000 0.0000
0.5000 0.0000 0.0000
```

=====

Energy relative to the most stable one, in meV per atom: #A 236; #B 0